# BeCr2Au

Crystalline BeCr2Au at its relaxed geometry (PBE, the Alexandria database).

Properties
density of states at the Fermi level	2.38	states/eV/f.u.
crystal system	tetragonal
distance to the lowest polymorph of the same formula	452.5	meV/atom
calculated density	9.76	g cm⁻³
energy relative to the elements	514	meV per atom

Lattice parameters (Å, degrees): 3.3794 3.3794 18.4740 90.00 90.00 90.00
Closest atoms and distances in Å follow each position.
Space group I-42d (No. 122)
One atom of each set of equivalent atoms:
Be: 0.0000 0.0000 0.0000 x4  4 Au 2.39, 4 Cr 2.55
Cr: 0.2025 0.2500 0.1250 x8  2 Cr 2.17
Au: 0.0000 0.0000 0.5000 x4  4 Be 2.39, 4 Cr 2.66

# Ce2ZnCd3

Crystalline Ce2ZnCd3 at its relaxed geometry (PBE, the Alexandria database).

Properties
density of states at the Fermi level	12.49	states/eV/f.u.
crystal system	orthorhombic
calculated density	7.94	g cm⁻³
energy relative to the elements	-241	meV per atom

Lattice parameters (Å, degrees): 3.2564 5.0308 8.7220 90.00 90.00 90.00
Closest atoms and distances in Å follow each position.
Space group Pmm2 (No. 25)
One atom of each set of equivalent atoms:
Ce: 0.0000 0.0000 0.0000 x1  2 Ce 3.26, 2 Zn 3.26, 10 Cd 3.30-3.45
Ce: 0.0000 0.5000 0.4809 x1  8 Cd 3.24-3.39, 2 Ce 3.26, 4 Zn 3.29
Zn: 0.5000 0.0000 0.3244 x1  3 Cd 2.85-2.90
Cd: 0.5000 0.0000 0.6515 x1  1 Zn 2.85, 2 Cd 2.92
Cd: 0.5000 0.5000 0.1597 x1  2 Zn 2.90, 1 Cd 2.95, 2 Ce 3.24
Cd: 0.5000 0.5000 0.8215 x1  5 Cd 2.92-3.26

# MoIr3

Crystalline MoIr3 at its relaxed geometry (PBE, the Alexandria database).

Properties
density of states at the Fermi level	3.93	states/eV/f.u.
crystal system	trigonal
distance to the lowest polymorph of the same formula	247.4	meV/atom
calculated density	18.87	g cm⁻³
energy relative to the elements	-89	meV per atom

Lattice parameters (Å, degrees): 2.7461 2.7461 27.1896 90.00 90.00 120.00
Closest atoms and distances in Å follow each position.
Space group R-3m (No. 166, hexagonal axes)
One atom of each set of equivalent atoms:
Mo: 0.0000 0.0000 0.0000 x3  6 Mo 2.75, 6 Ir 2.75
Ir: 0.0000 0.0000 0.2507 x6  9 Ir 2.75-2.78, 3 Mo 2.75
Ir: 0.0000 0.0000 0.5000 x3  12 Ir 2.75-2.78

# SrSi

Crystalline SrSi at its relaxed geometry (PBE, the Alexandria database).

Properties
density of states at the Fermi level	1.36	states/eV/f.u.
crystal system	hexagonal
E_form (uncorrected)	-0.47	eV per formula unit
calculated density	2.76	g cm⁻³

Lattice parameters (Å, degrees): 10.9603 10.9603 4.0156 90.00 90.00 120.00
Closest atoms and distances in Å follow each position.
Space group P6_3/mmc (No. 194)
One atom of each set of equivalent atoms:
Sr: 0.2022 0.4044 0.2500 x6  6 Si 3.20-3.37
Si: 0.0710 0.5355 0.7500 x6  2 Si 2.42